Record 1
First-principles (PBE-GGA) data for an optimized crystal structure of TbInGa2Au5, as listed in the Alexandria database.

- electronic total energy (eV/f.u.) = -33.34
- spin magnetization (μB per formula unit) = 0.00

Lattice parameters (Å, degrees): 4.4392 4.4392 9.0052 90.00 90.00 90.00
Positions (direct):
1 Tb 0.0000 0.0000 0.0000
2 In 0.0000 0.0000 0.5000
3 Ga 0.5000 0.5000 0.1333
4 Ga 0.5000 0.5000 0.8667
5 Au 0.0000 0.5000 0.2762
6 Au 0.5000 0.0000 0.2762
7 Au 0.0000 0.5000 0.7238
8 Au 0.5000 0.0000 0.7238
9 Au 0.5000 0.5000 0.5000

=====

Record 2
First-principles (PBE-GGA) data for an optimized crystal structure of Tb4TlSb3, as listed in the Alexandria database.

- energy relative to the elements, uncorrected (meV per atom) = -859
- electronic total energy (eV/f.u.) = -40.12
- spin magnetization (μB per formula unit) = 0.00

Lattice parameters (Å, degrees): 6.2326 6.2326 6.2326 90.00 90.00 90.00
Positions (direct):
1 Sb 0.0000 0.5000 0.5000
2 Sb 0.5000 0.0000 0.5000
3 Sb 0.5000 0.5000 0.0000
4 Tl 0.0000 0.0000 0.0000
5 Tb 0.5000 0.0000 0.0000
6 Tb 0.0000 0.5000 0.0000
7 Tb 0.0000 0.0000 0.5000
8 Tb 0.5000 0.5000 0.5000

=====

Record 3
First-principles (PBE-GGA) data for an optimized crystal structure of TmCd6Hg, as listed in the Alexandria database.

- electronic total energy (eV/f.u.) = -11.02
- spin magnetization (μB per formula unit) = 0.00

Lattice parameters (Å, degrees): 4.9004 6.2390 6.8656 117.02 90.00 90.00
Positions (direct):
1 Tm 0.5000 0.6851 0.3702
2 Cd 0.5000 0.6660 0.8501
3 Cd 0.5000 0.1840 0.8501
4 Cd 0.0000 0.8156 0.1522
5 Cd 0.0000 0.3367 0.1522
6 Cd 0.0000 0.3114 0.6228
7 Cd 0.0000 0.8483 0.6965
8 Hg 0.5000 0.1530 0.3059

=====

Record 4
First-principles (PBE-GGA) data for an optimized crystal structure of Pm3Y, as listed in the Alexandria database.

- electronic total energy (eV/f.u.) = -20.62
- spin magnetization (μB per formula unit) = 0.00

Lattice parameters (Å, degrees): 3.6813 6.3537 6.9083 117.38 105.45 90.00
Positions (direct):
1 Y 0.0000 0.0010 0.0000
2 Pm 0.2508 0.5835 0.5016
3 Pm 0.5000 0.5002 0.0000
4 Pm 0.7492 0.0819 0.4984